# PBE-GGA Dy4ScHg2, optimized geometry
data_Dy4ScHg2
_cell_length_a 5.3678
_cell_length_b 5.3678
_cell_length_c 25.3817
_cell_angle_alpha 90.00
_cell_angle_beta 90.00
_cell_angle_gamma 120.00
_space_group_name_H-M_alt 'R -3 m'
_space_group_IT_number 166
_space_group_name_Hall '-R 3 2"'
loop_
_atom_site_label
_atom_site_type_symbol
_atom_site_fract_x
_atom_site_fract_y
_atom_site_fract_z
Dy1 Dy 0.0000 0.0000 0.1309
Dy2 Dy 0.0000 0.0000 0.2692
Sc1 Sc 0.0000 0.0000 0.5000
Hg1 Hg 0.0000 0.0000 0.3887
# ΔH_f (0 K) = -0.14 eV/f.u.
# D(E_F) = 1.55 states/eV per atom
# Total magnetic moment = 0.0 μB/cell
# Crystal system = trigonal
# E = -0.268 Ry/atom